# TbY3Ir4

A relaxed structure of TbY3Ir4 (PBE, the Alexandria database).

- formation enthalpy at 0 K (meV per atom) = -778
- space-group type = Pmmm, No. 47

Unit cell a=3.3280 b=4.9392 c=9.8783 alpha=90.00 beta=90.00 gamma=90.00
Fractional coordinates of all 8 atoms:
1 Ir 0.0000 0.0000 0.5000
2 Ir 0.0000 0.5000 0.7501
3 Ir 0.0000 0.0000 0.0000
4 Ir 0.0000 0.5000 0.2499
5 Y 0.5000 0.5000 0.5000
6 Y 0.5000 0.0000 0.2504
7 Y 0.5000 0.0000 0.7496
8 Tb 0.5000 0.5000 0.0000

# TbY2Ir9

A relaxed structure of TbY2Ir9 (PBE, the Alexandria database).

- formation enthalpy at 0 K (meV per atom) = -581
- space-group type = R-3m, No. 166

Unit cell a=5.3139 b=5.3139 c=9.3055 alpha=73.41 beta=73.41 gamma=60.00
Fractional coordinates of all 12 atoms:
1 Ir 0.3327 0.3327 0.0018
2 Ir 0.4185 0.9170 0.2460
3 Ir 0.6673 0.6673 0.9982
4 Ir 0.5815 0.0830 0.7540
5 Ir 0.9170 0.4185 0.2460
6 Ir 0.0830 0.5815 0.7540
7 Ir 0.5815 0.5815 0.7540
8 Ir 0.5000 0.5000 0.5000
9 Ir 0.4185 0.4185 0.2460
10 Y 0.8607 0.8607 0.4178
11 Y 0.1393 0.1393 0.5822
12 Tb 0.0000 0.0000 0.0000

# Tb2YIr2

A relaxed structure of Tb2YIr2 (PBE, the Alexandria database).

- formation enthalpy at 0 K (meV per atom) = -716
- space-group type = P2_1/m, No. 11

Unit cell a=4.3750 b=5.5540 c=11.2955 alpha=113.24 beta=90.00 gamma=90.00
Fractional coordinates of all 10 atoms:
1 Tb 0.2500 0.2799 0.5314
2 Tb 0.7500 0.7201 0.4686
3 Tb 0.7500 0.2278 0.1192
4 Tb 0.2500 0.7722 0.8808
5 Y 0.2500 0.8103 0.2073
6 Y 0.7500 0.1897 0.7927
7 Ir 0.2500 0.3185 0.9763
8 Ir 0.2500 0.8782 0.6415
9 Ir 0.7500 0.1218 0.3585
10 Ir 0.7500 0.6815 0.0237

# Tb8YIr6

A relaxed structure of Tb8YIr6 (PBE, the Alexandria database).

- formation enthalpy at 0 K (meV per atom) = -762
- space-group type = R-3, No. 148

Unit cell a=7.6936 b=7.6936 c=7.6936 alpha=65.46 beta=65.46 gamma=65.46
Fractional coordinates of all 15 atoms:
1 Tb 0.1123 0.7793 0.4442
2 Tb 0.5558 0.8877 0.2207
3 Tb 0.6668 0.6668 0.6668
4 Tb 0.8877 0.2207 0.5558
5 Tb 0.7793 0.4442 0.1123
6 Tb 0.3332 0.3332 0.3332
7 Tb 0.4442 0.1123 0.7793
8 Tb 0.2207 0.5558 0.8877
9 Ir 0.6091 0.2772 0.9434
10 Ir 0.0566 0.3909 0.7228
11 Ir 0.7228 0.0566 0.3909
12 Ir 0.3909 0.7228 0.0566
13 Ir 0.9434 0.6091 0.2772
14 Ir 0.2772 0.9434 0.6091
15 Y 0.0000 0.0000 0.0000

# Tb2YIr2

A relaxed structure of Tb2YIr2 (PBE, the Alexandria database).

- formation enthalpy at 0 K (meV per atom) = -760
- space-group type = P-3m1, No. 164

Unit cell a=4.7935 b=4.7935 c=6.0301 alpha=89.99 beta=89.99 gamma=60.01
Fractional coordinates of all 5 atoms:
1 Ir 0.1667 0.6667 0.8292
2 Ir 0.8333 0.3333 0.1708
3 Y 0.5000 0.0000 0.0000
4 Tb 0.1667 0.6667 0.3355
5 Tb 0.8333 0.3333 0.6645

# Tb3YIr2

A relaxed structure of Tb3YIr2 (PBE, the Alexandria database).

- formation enthalpy at 0 K (meV per atom) = -624
- space-group type = Ibam, No. 72

Unit cell a=6.7819 b=7.0854 c=8.3957 alpha=114.96 beta=113.82 gamma=90.00
Fractional coordinates of all 12 atoms:
1 Tb 0.2347 0.9847 0.4694
2 Tb 0.7653 0.0153 0.5306
3 Tb 0.5000 0.7500 0.0000
4 Tb 0.5000 0.2500 0.0000
5 Tb 0.2347 0.4847 0.4694
6 Tb 0.7653 0.5153 0.5306
7 Ir 0.4256 0.6382 0.2765
8 Ir 0.5744 0.3618 0.7235
9 Ir 0.8509 0.1382 0.2765
10 Ir 0.1491 0.8618 0.7235
11 Y 0.0000 0.5000 0.0000
12 Y 0.0000 0.0000 0.0000

# Tb3YIr4

A relaxed structure of Tb3YIr4 (PBE, the Alexandria database).

- formation enthalpy at 0 K (meV per atom) = -784
- space-group type = Pmmm, No. 47

Unit cell a=3.5961 b=4.7561 c=9.5117 alpha=90.00 beta=90.00 gamma=90.00
Fractional coordinates of all 8 atoms:
1 Tb 0.5000 0.0000 0.7504
2 Tb 0.5000 0.5000 0.5000
3 Tb 0.5000 0.0000 0.2496
4 Ir 0.0000 0.0000 0.0000
5 Ir 0.0000 0.0000 0.5000
6 Ir 0.0000 0.5000 0.7498
7 Ir 0.0000 0.5000 0.2502
8 Y 0.5000 0.5000 0.0000

# TbY3Ir2

A relaxed structure of TbY3Ir2 (PBE, the Alexandria database).

- formation enthalpy at 0 K (meV per atom) = -614
- space-group type = Ibam, No. 72

Unit cell a=6.7792 b=7.0774 c=8.3936 alpha=114.94 beta=113.82 gamma=90.00
Fractional coordinates of all 12 atoms:
1 Ir 0.4229 0.6376 0.2752
2 Ir 0.1477 0.8624 0.7248
3 Ir 0.8523 0.1376 0.2752
4 Ir 0.5771 0.3624 0.7248
5 Y 0.5000 0.7500 0.0000
6 Y 0.7645 0.0145 0.5290
7 Y 0.7645 0.5145 0.5290
8 Y 0.5000 0.2500 0.0000
9 Y 0.2355 0.9855 0.4710
10 Y 0.2355 0.4855 0.4710
11 Tb 0.0000 0.0000 0.0000
12 Tb 0.0000 0.5000 0.0000

# Tb4YIr5

A relaxed structure of Tb4YIr5 (PBE, the Alexandria database).

- formation enthalpy at 0 K (meV per atom) = -769
- space-group type = P4/mmm, No. 123

Unit cell a=3.3714 b=3.3714 c=17.9112 alpha=90.00 beta=90.00 gamma=90.00
Fractional coordinates of all 10 atoms:
1 Tb 0.0000 0.0000 0.6001
2 Tb 0.0000 0.0000 0.3999
3 Tb 0.0000 0.0000 0.1998
4 Tb 0.0000 0.0000 0.8002
5 Ir 0.5000 0.5000 0.7001
6 Ir 0.5000 0.5000 0.1002
7 Ir 0.5000 0.5000 0.8998
8 Ir 0.5000 0.5000 0.2999
9 Ir 0.5000 0.5000 0.5000
10 Y 0.0000 0.0000 0.0000

# Tb3YIr8

A relaxed structure of Tb3YIr8 (PBE, the Alexandria database).

- formation enthalpy at 0 K (meV per atom) = -802
- space-group type = R3m, No. 160

Unit cell a=5.3707 b=5.3707 c=9.2939 alpha=73.21 beta=73.21 gamma=60.00
Fractional coordinates of all 12 atoms:
1 Tb 0.0000 0.0000 0.0001
2 Tb 0.3750 0.3750 0.8749
3 Tb 0.5000 0.5000 0.5000
4 Ir 0.1875 0.1875 0.4375
5 Ir 0.4374 0.9376 0.6874
6 Ir 0.4375 0.4375 0.1875
7 Ir 0.4375 0.9375 0.1875
8 Ir 0.6875 0.6875 0.9375
9 Ir 0.9376 0.4374 0.6874
10 Ir 0.9375 0.4375 0.1875
11 Ir 0.9376 0.9376 0.6874
12 Y 0.8750 0.8750 0.3750

# Tb2Y2Ir3

A relaxed structure of Tb2Y2Ir3 (PBE, the Alexandria database).

- formation enthalpy at 0 K (meV per atom) = -783
- space-group type = P-1, No. 2

Unit cell a=4.8312 b=4.8281 c=8.4074 alpha=89.98 beta=106.75 gamma=120.02
Fractional coordinates of all 7 atoms:
1 Tb 0.2507 0.1255 0.3759
2 Tb 0.7493 0.8745 0.6241
3 Ir 0.4990 0.2490 0.7490
4 Ir 0.5010 0.7510 0.2510
5 Ir 0.0000 0.0000 0.0000
6 Y 0.7522 0.3763 0.1277
7 Y 0.2478 0.6237 0.8723

# TbYZnIr

A relaxed structure of TbYZnIr (PBE, the Alexandria database).

- formation enthalpy at 0 K (meV per atom) = -618
- space-group type = F-43m, No. 216

Unit cell a=4.9455 b=4.9455 c=4.9455 alpha=60.00 beta=60.00 gamma=60.00
Fractional coordinates of all 4 atoms:
1 Y 0.7500 0.7500 0.7500
2 Tb 0.2500 0.2500 0.2500
3 Zn 0.0000 0.0000 0.0000
4 Ir 0.5000 0.5000 0.5000